# 1
A relaxed structure of Hg3PBr. Source: the Alexandria database, functional GGA-PBE.

Cell lengths 5.219, 5.219, 5.219 Å; angles 90.00, 90.00, 90.00 degrees
Space group Pm-3m (No. 221)
Inequivalent atoms, fractional coordinates:
Hg 0.000 0.000 0.500
P 0.000 0.000 0.000
Br 0.500 0.500 0.500

Output
Its distance to the lowest polymorph of the same formula is 0 meV/atom. The calculation puts the uncorrected formation energy at -0.04 eV per atom.

# 2
A relaxed structure of LaIn2Ni3. Source: the Alexandria database, functional GGA-PBE.

Cell lengths 9.4015, 9.4015, 4.3484 Å; angles 90.00, 90.00, 120.00 degrees
Space group P-62m (No. 189)
Inequivalent atoms, fractional coordinates:
La 0.0000 0.0000 0.0000
La 0.3333 0.6667 0.5000
In 0.0000 0.5010 0.0000
In 0.0000 0.7295 0.5000
Ni 0.0000 0.3007 0.5000
Ni 0.1686 0.3557 0.0000

Output
The value obtained for the energy of formation is -0.32 eV/atom.

# 3
A relaxed structure of TmSnHg2. Source: the Alexandria database, functional GGA-PBE.

Cell lengths 4.468, 4.468, 4.823 Å; angles 90.00, 90.00, 90.00 degrees
Space group P4/mmm (No. 123)
Inequivalent atoms, fractional coordinates:
Tm 0.000 0.000 0.000
Sn 0.500 0.500 0.000
Hg 0.000 0.500 0.500

Output
The value obtained for the energy of formation is -0.36 eV/atom.

# 4
A relaxed structure of AlIn. Source: the Alexandria database, functional GGA-PBE.

Cell lengths 7.129, 7.129, 7.129 Å; angles 90.00, 90.00, 90.00 degrees
Space group Fd-3m (No. 227, origin choice 2)
Inequivalent atoms, fractional coordinates:
Al 0.125 0.125 0.125
In 0.125 0.125 0.625

Output
The value obtained for the energy of formation is 0.22 eV/atom.

# 5
A relaxed structure of RbO4. Source: the Alexandria database, functional GGA-PBE.

Cell lengths 9.778, 9.778, 3.916 Å; angles 90.00, 90.00, 90.00 degrees
Space group P4/mbm (No. 127)
Inequivalent atoms, fractional coordinates:
Rb 0.194 0.306 0.000
O 0.000 0.000 0.158
O 0.068 0.734 0.500
O 0.097 0.597 0.500

Output
Its distance to the lowest polymorph of the same formula is 62 meV/atom. The calculation puts the uncorrected formation energy at -0.47 eV per atom.

# 6
A relaxed structure of Li2MnZnCl6. Source: the Alexandria database, functional GGA-PBE.

Cell lengths 6.3541, 6.3541, 17.3547 Å; angles 90.00, 90.00, 120.00 degrees
Space group R3 (No. 146, hexagonal axes)
Inequivalent atoms, fractional coordinates:
Li 0.0000 0.0000 0.0000
Li 0.0000 0.0000 0.4985
Mn 0.0000 0.0000 0.6941
Zn 0.0000 0.0000 0.1954
Cl 0.0247 0.3453 0.2638
Cl 0.0273 0.6749 0.7652

Output
The calculation puts the uncorrected formation energy at -1.34 eV per atom.

# 7
A relaxed structure of TmLuSc2. Source: the Alexandria database, functional GGA-PBE.

Cell lengths 7.577, 7.577, 7.577 Å; angles 90.00, 90.00, 90.00 degrees
Space group Fm-3m (No. 225)
Inequivalent atoms, fractional coordinates:
Tm 0.000 0.000 0.000
Lu 0.000 0.000 0.500
Sc 0.250 0.250 0.250

Output
Its distance to the lowest polymorph of the same formula is 56 meV/atom. The value obtained for the energy of formation is 0.11 eV/atom.

# 8
A relaxed structure of HfTiAsPb2. Source: the Alexandria database, functional GGA-PBE.

Cell lengths 5.460, 5.460, 4.671 Å; angles 90.00, 90.00, 90.00 degrees
Space group P4/mmm (No. 123)
Inequivalent atoms, fractional coordinates:
Hf 0.000 0.000 0.000
Ti 0.500 0.500 0.000
As 0.500 0.500 0.500
Pb 0.000 0.500 0.500

Output
The value obtained for the energy of formation is 0.72 eV/atom.

# 9
A relaxed structure of Sm2Dy8Er. Source: the Alexandria database, functional GGA-PBE.

Cell lengths 18.117, 5.021, 7.952 Å; angles 90.00, 105.25, 90.00 degrees
Space group C2/m (No. 12)
Inequivalent atoms, fractional coordinates:
Sm 0.227 0.000 0.137
Dy 0.045 0.000 0.228
Dy 0.090 0.500 0.953
Dy 0.135 0.000 0.679
Dy 0.181 0.500 0.409
Er 0.000 0.500 0.500

Output
Its distance to the lowest polymorph of the same formula is 0 meV/atom. The value obtained for the energy of formation is 0.02 eV/atom.

# 10
A relaxed structure of Ca4Ag2SnHg. Source: the Alexandria database, functional GGA-PBE.

Cell lengths 5.2960, 5.2960, 26.4311 Å; angles 90.00, 90.00, 120.00 degrees
Space group R-3m (No. 166, hexagonal axes)
Inequivalent atoms, fractional coordinates:
Ca 0.0000 0.0000 0.1246
Ca 0.0000 0.0000 0.3752
Ag 0.0000 0.0000 0.2488
Sn 0.0000 0.0000 0.0000
Hg 0.0000 0.0000 0.5000

Output
The value obtained for the energy of formation is -0.48 eV/atom.

# 11
A relaxed structure of SrHfPb3. Source: the Alexandria database, functional GGA-PBE.

Cell lengths 5.654, 5.654, 5.654 Å; angles 90.00, 90.00, 90.00 degrees
Space group Pm-3m (No. 221)
Inequivalent atoms, fractional coordinates:
Sr 0.000 0.000 0.000
Hf 0.500 0.500 0.500
Pb 0.000 0.500 0.500

Output
Its distance to the lowest polymorph of the same formula is 0 meV/atom. The value obtained for the energy of formation is -0.03 eV/atom.

# 12
A relaxed structure of CdTc. Source: the Alexandria database, functional GGA-PBE.

Cell lengths 9.189, 3.035, 5.157 Å; angles 90.00, 102.17, 90.00 degrees
Space group C2/m (No. 12)
Inequivalent atoms, fractional coordinates:
Cd 0.119 0.000 0.384
Tc 0.142 0.500 0.923

Output
Its distance to the lowest polymorph of the same formula is 298 meV/atom. The value obtained for the energy of formation is 0.41 eV/atom.

# 13
A relaxed structure of Nd5YHo. Source: the Alexandria database, functional GGA-PBE.

Cell lengths 16.621, 6.685, 10.921 Å; angles 90.00, 126.34, 90.00 degrees
Space group C2/c (No. 15)
Inequivalent atoms, fractional coordinates:
Nd 0.000 0.011 0.250
Nd 0.092 0.249 0.595
Nd 0.171 0.252 0.089
Y 0.000 0.487 0.250
Ho 0.250 0.250 0.500

Output
Its distance to the lowest polymorph of the same formula is 0 meV/atom. The value obtained for the energy of formation is 0.15 eV/atom.

# 14
A relaxed structure of CuSi2Ru. Source: the Alexandria database, functional GGA-PBE.

Cell lengths 5.441, 5.441, 10.351 Å; angles 90.00, 90.00, 90.00 degrees
Space group I-42d (No. 122)
Inequivalent atoms, fractional coordinates:
Cu 0.000 0.000 0.000
Si 0.242 0.250 0.625
Ru 0.000 0.000 0.500

Output
Its distance to the lowest polymorph of the same formula is 690 meV/atom. The calculation puts the uncorrected formation energy at 0.41 eV per atom.

# 15
A relaxed structure of Na5AsO4F2. Source: the Alexandria database, functional GGA-PBE.

Cell lengths 6.682, 9.264, 5.541 Å; angles 90.00, 90.00, 90.00 degrees
Space group Amm2 (No. 38)
Inequivalent atoms, fractional coordinates:
Na 0.000 0.000 0.000
Na 0.254 0.187 0.497
As 0.500 0.000 0.022
O 0.291 0.000 0.207
O 0.500 0.151 0.837
F 0.000 0.194 0.765

Output
The calculation puts the uncorrected formation energy at -2.02 eV per atom.

# 16
A relaxed structure of BaCr2BiPb. Source: the Alexandria database, functional GGA-PBE.

Cell lengths 5.343, 5.343, 6.301 Å; angles 90.00, 90.00, 90.00 degrees
Space group P4/mmm (No. 123)
Inequivalent atoms, fractional coordinates:
Ba 0.000 0.000 0.000
Cr 0.000 0.500 0.500
Bi 0.500 0.500 0.000
Pb 0.500 0.500 0.500

Output
Its distance to the lowest polymorph of the same formula is 0 meV/atom. The value obtained for the energy of formation is 0.64 eV/atom.

# 17
A relaxed structure of NaMg2Si. Source: the Alexandria database, functional GGA-PBE.

Cell lengths 4.456, 4.456, 4.177 Å; angles 90.00, 90.00, 90.00 degrees
Space group P4/mmm (No. 123)
Inequivalent atoms, fractional coordinates:
Na 0.000 0.000 0.000
Mg 0.000 0.500 0.500
Si 0.500 0.500 0.000

Output
The calculation puts the uncorrected formation energy at 0.12 eV per atom.

# 18
A relaxed structure of Lu2SnRu. Source: the Alexandria database, functional GGA-PBE.

Cell lengths 7.023, 7.023, 7.023 Å; angles 90.00, 90.00, 90.00 degrees
Space group Fm-3m (No. 225)
Inequivalent atoms, fractional coordinates:
Lu 0.250 0.250 0.250
Sn 0.000 0.000 0.000
Ru 0.000 0.000 0.500

Output
Its distance to the lowest polymorph of the same formula is 160 meV/atom. The value obtained for the energy of formation is -0.45 eV/atom.

# 19
A relaxed structure of ErCo2P. Source: the Alexandria database, functional GGA-PBE.

Cell lengths 3.657, 3.657, 8.791 Å; angles 90.00, 90.00, 90.00 degrees
Space group P4/nmm (No. 129, origin choice 2)
Inequivalent atoms, fractional coordinates:
Er 0.250 0.250 0.216
Co 0.250 0.250 0.901
Co 0.250 0.750 0.500
P 0.250 0.250 0.650

Output
The value obtained for the energy of formation is -0.66 eV/atom.

# 20
A relaxed structure of YInIr2. Source: the Alexandria database, functional GGA-PBE.

Cell lengths 7.400, 7.400, 6.039 Å; angles 90.00, 90.00, 90.00 degrees
Space group I-42d (No. 122)
Inequivalent atoms, fractional coordinates:
Y 0.000 0.000 0.000
In 0.000 0.000 0.500
Ir 0.232 0.750 0.625

Output
The value obtained for the energy of formation is 0.07 eV/atom.